--- one ---
This record from the Alexandria database describes a geometry-optimized SrRu3S structure. The functional is PBE-GGA.

The calculation puts the total moment at 0.00 μB/f.u.

It has space group Pm-3m (No. 221), with a = 4.482 Å, b = 4.482 Å, c = 4.482 Å, α = 90.00°, β = 90.00° and γ = 90.00°. The inequivalent atoms are Sr at (0.000, 0.000, 0.000), Ru at (0.000, 0.500, 0.500) and S at (0.500, 0.500, 0.500).

--- two ---
This record from the Alexandria database describes a geometry-optimized SrRu3S structure. The functional is PBE-GGA.

The calculation puts the total moment at 6.35 μB/f.u.

It has space group Pm-3m (No. 221), with a = 4.992 Å, b = 4.992 Å, c = 4.992 Å, α = 90.00°, β = 90.00° and γ = 90.00°. The inequivalent atoms are Sr at (0.000, 0.000, 0.000), Ru at (0.000, 0.000, 0.500) and S at (0.500, 0.500, 0.500).

one comes first in stability; the runner-up is 2.568 eV/atom higher.

--- one ---
This record from the Alexandria database describes a geometry-optimized SrRuS3 structure. The functional is PBE-GGA.

The calculation puts the total moment at 2.68 μB/f.u.

It has space group Pm-3m (No. 221), with a = 5.440 Å, b = 5.440 Å, c = 5.440 Å, α = 90.00°, β = 90.00° and γ = 90.00°. The inequivalent atoms are Sr at (0.000, 0.000, 0.000), Ru at (0.500, 0.500, 0.500) and S at (0.000, 0.000, 0.500).

--- two ---
This record from the Alexandria database describes a geometry-optimized SrRuS3 structure. The functional is PBE-GGA.

The calculation puts the total moment at 2.48 μB/f.u.

It has space group Pm-3m (No. 221), with a = 4.753 Å, b = 4.753 Å, c = 4.753 Å, α = 90.00°, β = 90.00° and γ = 90.00°. The inequivalent atoms are Sr at (0.000, 0.000, 0.000), Ru at (0.500, 0.500, 0.500) and S at (0.000, 0.500, 0.500).

two comes first in stability; the runner-up is 1.940 eV/atom higher.

--- one ---
This record from the Alexandria database describes a geometry-optimized TaRu3S structure. The functional is PBE-GGA.

The calculation puts the total moment at 0.00 μB/f.u.

It has space group Pm-3m (No. 221), with a = 4.316 Å, b = 4.316 Å, c = 4.316 Å, α = 90.00°, β = 90.00° and γ = 90.00°. The inequivalent atoms are Ta at (0.000, 0.000, 0.000), Ru at (0.000, 0.500, 0.500) and S at (0.500, 0.500, 0.500).

--- two ---
This record from the Alexandria database describes a geometry-optimized TaRu3S structure. The functional is PBE-GGA.

The calculation puts the total moment at 3.88 μB/f.u.

It has space group Pm-3m (No. 221), with a = 4.765 Å, b = 4.765 Å, c = 4.765 Å, α = 90.00°, β = 90.00° and γ = 90.00°. The inequivalent atoms are Ta at (0.000, 0.000, 0.000), Ru at (0.000, 0.000, 0.500) and S at (0.500, 0.500, 0.500).

one comes first in stability; the runner-up is 1.343 eV/atom higher.

--- one ---
This record from the Alexandria database describes a geometry-optimized Ta3RuS structure. The functional is PBE-GGA.

The calculation puts the total moment at 0.00 μB/f.u.

It has space group Pm-3m (No. 221), with a = 4.492 Å, b = 4.492 Å, c = 4.492 Å, α = 90.00°, β = 90.00° and γ = 90.00°. The inequivalent atoms are Ta at (0.000, 0.000, 0.500), Ru at (0.500, 0.500, 0.500) and S at (0.000, 0.000, 0.000).

--- two ---
This record from the Alexandria database describes a geometry-optimized Ta3RuS structure. The functional is PBE-GGA.

The calculation puts the total moment at 0.00 μB/f.u.

It has space group Pm-3m (No. 221), with a = 4.804 Å, b = 4.804 Å, c = 4.804 Å, α = 90.00°, β = 90.00° and γ = 90.00°. The inequivalent atoms are Ta at (0.000, 0.000, 0.500), Ru at (0.000, 0.000, 0.000) and S at (0.500, 0.500, 0.500).

one comes first in stability; the runner-up is 0.816 eV/atom higher.

--- one ---
This record from the Alexandria database describes a geometry-optimized Tb2RuS structure. The functional is PBE-GGA.

The calculation puts the total moment at 0.00 μB/f.u.

It has space group R-3m (No. 166, hexagonal axes), with a = 3.6980 Å, b = 3.6980 Å, c = 22.3856 Å, α = 90.00°, β = 90.00° and γ = 120.00°. The inequivalent atoms are Tb at (0.0000, 0.0000, 0.2491), Ru at (0.0000, 0.0000, 0.0000) and S at (0.0000, 0.0000, 0.5000).

--- two ---
This record from the Alexandria database describes a geometry-optimized Tb2RuS structure. The functional is PBE-GGA.

The calculation puts the total moment at 0.00 μB/f.u.

It has space group P4/mmm (No. 123), with a = 3.407 Å, b = 3.407 Å, c = 7.090 Å, α = 90.00°, β = 90.00° and γ = 90.00°. The inequivalent atoms are Tb at (0.000, 0.000, 0.241), Ru at (0.500, 0.500, 0.000) and S at (0.500, 0.500, 0.500).

two comes first in stability; the runner-up is 0.036 eV/atom higher.

--- one ---
This record from the Alexandria database describes a geometry-optimized TcRu2S structure. The functional is PBE-GGA.

The calculation puts the total moment at 1.59 μB/f.u.

It has space group Fm-3m (No. 225), with a = 6.106 Å, b = 6.106 Å, c = 6.106 Å, α = 90.00°, β = 90.00° and γ = 90.00°. The inequivalent atoms are Tc at (0.000, 0.000, 0.000), Ru at (0.250, 0.250, 0.250) and S at (0.000, 0.000, 0.500).

--- two ---
This record from the Alexandria database describes a geometry-optimized TcRu2S structure. The functional is PBE-GGA.

The calculation puts the total moment at 0.00 μB/f.u.

It has space group I-42d (No. 122), with a = 5.395 Å, b = 5.395 Å, c = 10.535 Å, α = 90.00°, β = 90.00° and γ = 90.00°. The inequivalent atoms are Tc at (0.000, 0.000, 0.000), Ru at (0.228, 0.250, 0.625) and S at (0.000, 0.000, 0.500).

two comes first in stability; the runner-up is 0.127 eV/atom higher.

--- one ---
This record from the Alexandria database describes a geometry-optimized TcRu3S structure. The functional is PBE-GGA.

The calculation puts the total moment at 3.54 μB/f.u.

It has space group Pm-3m (No. 221), with a = 4.308 Å, b = 4.308 Å, c = 4.308 Å, α = 90.00°, β = 90.00° and γ = 90.00°. The inequivalent atoms are Tc at (0.000, 0.000, 0.000), Ru at (0.000, 0.500, 0.500) and S at (0.500, 0.500, 0.500).

--- two ---
This record from the Alexandria database describes a geometry-optimized TcRu3S structure. The functional is PBE-GGA.

The calculation puts the total moment at 3.21 μB/f.u.

It has space group Pm-3m (No. 221), with a = 4.662 Å, b = 4.662 Å, c = 4.662 Å, α = 90.00°, β = 90.00° and γ = 90.00°. The inequivalent atoms are Tc at (0.000, 0.000, 0.000), Ru at (0.000, 0.000, 0.500) and S at (0.500, 0.500, 0.500).

one comes first in stability; the runner-up is 1.079 eV/atom higher.

--- one ---
This record from the Alexandria database describes a geometry-optimized Te3RuS structure. The functional is PBE-GGA.

The calculation puts the total moment at 3.00 μB/f.u.

It has space group Pm-3m (No. 221), with a = 5.174 Å, b = 5.174 Å, c = 5.174 Å, α = 90.00°, β = 90.00° and γ = 90.00°. The inequivalent atoms are Te at (0.000, 0.000, 0.500), Ru at (0.500, 0.500, 0.500) and S at (0.000, 0.000, 0.000).

--- two ---
This record from the Alexandria database describes a geometry-optimized Te3RuS structure. The functional is PBE-GGA.

The calculation puts the total moment at 0.00 μB/f.u.

It has space group Pm-3m (No. 221), with a = 5.163 Å, b = 5.163 Å, c = 5.163 Å, α = 90.00°, β = 90.00° and γ = 90.00°. The inequivalent atoms are Te at (0.000, 0.000, 0.500), Ru at (0.000, 0.000, 0.000) and S at (0.500, 0.500, 0.500).

two comes first in stability; the runner-up is 0.464 eV/atom higher.

--- one ---
This record from the Alexandria database describes a geometry-optimized TeRu3S structure. The functional is PBE-GGA.

The calculation puts the total moment at 0.00 μB/f.u.

It has space group Pm-3m (No. 221), with a = 4.427 Å, b = 4.427 Å, c = 4.427 Å, α = 90.00°, β = 90.00° and γ = 90.00°. The inequivalent atoms are Te at (0.000, 0.000, 0.000), Ru at (0.000, 0.500, 0.500) and S at (0.500, 0.500, 0.500).

--- two ---
This record from the Alexandria database describes a geometry-optimized TeRu3S structure. The functional is PBE-GGA.

The calculation puts the total moment at 4.56 μB/f.u.

It has space group Pm-3m (No. 221), with a = 4.871 Å, b = 4.871 Å, c = 4.871 Å, α = 90.00°, β = 90.00° and γ = 90.00°. The inequivalent atoms are Te at (0.000, 0.000, 0.000), Ru at (0.000, 0.000, 0.500) and S at (0.500, 0.500, 0.500).

one comes first in stability; the runner-up is 1.224 eV/atom higher.

--- one ---
This record from the Alexandria database describes a geometry-optimized TeRu2S structure. The functional is PBE-GGA.

The calculation puts the total moment at 0.00 μB/f.u.

It has space group I-42d (No. 122), with a = 5.321 Å, b = 5.321 Å, c = 11.813 Å, α = 90.00°, β = 90.00° and γ = 90.00°. The inequivalent atoms are Te at (0.000, 0.000, 0.000), Ru at (0.186, 0.250, 0.625) and S at (0.000, 0.000, 0.500).

--- two ---
This record from the Alexandria database describes a geometry-optimized TeRu2S structure. The functional is PBE-GGA.

The calculation puts the total moment at 0.00 μB/f.u.

It has space group Fm-3m (No. 225), with a = 6.347 Å, b = 6.347 Å, c = 6.347 Å, α = 90.00°, β = 90.00° and γ = 90.00°. The inequivalent atoms are Te at (0.000, 0.000, 0.000), Ru at (0.250, 0.250, 0.250) and S at (0.000, 0.000, 0.500).

one comes first in stability; the runner-up is 0.331 eV/atom higher.

--- one ---
This record from the Alexandria database describes a geometry-optimized TiTe2RuS structure. The functional is PBE-GGA.

The calculation puts the total moment at 1.47 μB/f.u.

It has space group P4/mmm (No. 123), with a = 5.442 Å, b = 5.442 Å, c = 4.243 Å, α = 90.00°, β = 90.00° and γ = 90.00°. The inequivalent atoms are Ti at (0.000, 0.000, 0.000), Te at (0.000, 0.500, 0.500), Ru at (0.500, 0.500, 0.500) and S at (0.500, 0.500, 0.000).

--- two ---
This record from the Alexandria database describes a geometry-optimized TiTe2RuS structure. The functional is PBE-GGA.

The calculation puts the total moment at 3.34 μB/f.u.

It has space group P4/mmm (No. 123), with a = 5.411 Å, b = 5.411 Å, c = 4.433 Å, α = 90.00°, β = 90.00° and γ = 90.00°. The inequivalent atoms are Ti at (0.000, 0.000, 0.000), Te at (0.000, 0.500, 0.000), Ru at (0.500, 0.500, 0.500) and S at (0.000, 0.000, 0.500).

one comes first in stability; the runner-up is 0.160 eV/atom higher.

--- one ---
This record from the Alexandria database describes a geometry-optimized YTe2RuS structure. The functional is PBE-GGA.

The calculation puts the total moment at 0.00 μB/f.u.

It has space group P4/mmm (No. 123), with a = 5.503 Å, b = 5.503 Å, c = 4.300 Å, α = 90.00°, β = 90.00° and γ = 90.00°. The inequivalent atoms are Y at (0.000, 0.000, 0.000), Te at (0.000, 0.500, 0.500), Ru at (0.500, 0.500, 0.500) and S at (0.500, 0.500, 0.000).

--- two ---
This record from the Alexandria database describes a geometry-optimized YTe2RuS structure. The functional is PBE-GGA.

The calculation puts the total moment at 0.00 μB/f.u.

It has space group P4/mmm (No. 123), with a = 4.940 Å, b = 4.940 Å, c = 5.710 Å, α = 90.00°, β = 90.00° and γ = 90.00°. The inequivalent atoms are Y at (0.000, 0.000, 0.000), Te at (0.000, 0.500, 0.500), Ru at (0.000, 0.000, 0.500) and S at (0.500, 0.500, 0.000).

one comes first in stability; the runner-up is 0.339 eV/atom higher.

--- one ---
This record from the Alexandria database describes a geometry-optimized TiRu3S structure. The functional is PBE-GGA.

The calculation puts the total moment at 0.00 μB/f.u.

It has space group Pm-3m (No. 221), with a = 4.311 Å, b = 4.311 Å, c = 4.311 Å, α = 90.00°, β = 90.00° and γ = 90.00°. The inequivalent atoms are Ti at (0.000, 0.000, 0.000), Ru at (0.000, 0.500, 0.500) and S at (0.500, 0.500, 0.500).

--- two ---
This record from the Alexandria database describes a geometry-optimized TiRu3S structure. The functional is PBE-GGA.

The calculation puts the total moment at 4.10 μB/f.u.

It has space group Pm-3m (No. 221), with a = 4.578 Å, b = 4.578 Å, c = 4.578 Å, α = 90.00°, β = 90.00° and γ = 90.00°. The inequivalent atoms are Ti at (0.000, 0.000, 0.000), Ru at (0.000, 0.000, 0.500) and S at (0.500, 0.500, 0.500).

one comes first in stability; the runner-up is 1.260 eV/atom higher.

--- one ---
This record from the Alexandria database describes a geometry-optimized Ti3RuS structure. The functional is PBE-GGA.

The calculation puts the total moment at 0.00 μB/f.u.

It has space group Pm-3m (No. 221), with a = 4.690 Å, b = 4.690 Å, c = 4.690 Å, α = 90.00°, β = 90.00° and γ = 90.00°. The inequivalent atoms are Ti at (0.000, 0.000, 0.500), Ru at (0.000, 0.000, 0.000) and S at (0.500, 0.500, 0.500).

--- two ---
This record from the Alexandria database describes a geometry-optimized Ti3RuS structure. The functional is PBE-GGA.

The calculation puts the total moment at 0.00 μB/f.u.

It has space group Pm-3m (No. 221), with a = 4.402 Å, b = 4.402 Å, c = 4.402 Å, α = 90.00°, β = 90.00° and γ = 90.00°. The inequivalent atoms are Ti at (0.000, 0.000, 0.500), Ru at (0.500, 0.500, 0.500) and S at (0.000, 0.000, 0.000).

two comes first in stability; the runner-up is 0.591 eV/atom higher.